! PBE-GGA UPd5Pt4, optimized geometry; values from VASP
&SYSTEM
  ibrav = 0, nat = 10, ntyp = 3
/
ATOMIC_SPECIES
Pt 195.08 Pt.upf
Pd 106.42 Pd.upf
U 238.03 U.upf
ATOMIC_POSITIONS angstrom
Pt -4.3524 -3.5949 1.5397
Pd -1.6609 -2.7204 1.9435
Pt -0.7360 -5.0699 0.5789
Pd -3.4098 -5.9490 0.1827
Pd 0.0808 -2.4375 -0.2674
Pd -0.8737 -3.1008 -2.8744
Pt 1.0234 -4.7916 -1.6244
U -1.8241 -0.7668 -1.4998
Pt -2.5930 -3.3166 -0.6636
Pd -1.6682 -5.6661 -2.0282
CELL_PARAMETERS angstrom
-3.6483 -1.5336 -2.9997
1.9010 -4.6680 -2.7492
-1.5817 -2.1849 5.6642
! - Formation energy from the elements: -0.37 eV/atom
! - Magnetization: 0.0 μB/cell

***

! PBE-GGA ZrNiRu2Cl, optimized geometry; values from VASP
&SYSTEM
  ibrav = 0, nat = 5, ntyp = 4
/
ATOMIC_SPECIES
Zr 91.22 Zr.upf
Cl 35.45 Cl.upf
Ni 58.69 Ni.upf
Ru 101.07 Ru.upf
ATOMIC_POSITIONS angstrom
Zr 0.0000 0.0000 0.0000
Cl 2.1956 -1.0269 -0.0054
Ni 0.7361 -4.1471 -0.1048
Ru -0.7473 -1.6068 1.6727
Ru -0.7122 -1.5135 -1.7721
CELL_PARAMETERS angstrom
-1.4244 -3.0270 -3.5442
4.3913 -2.0537 -0.0108
-1.4947 -3.2136 3.3454
! - Raw total energy: -5.61 eV/atom
! - Magnetization: 3.2 μB/cell

***

! PBE-GGA GdTe2Pt, optimized geometry; values from VASP
&SYSTEM
  ibrav = 0, nat = 4, ntyp = 3
/
ATOMIC_SPECIES
Gd 157.25 Gd.upf
Te 127.60 Te.upf
Pt 195.08 Pt.upf
ATOMIC_POSITIONS angstrom
Gd 0.0000 0.0000 0.0000
Te -0.8256 -6.2925 1.0449
Te -5.5892 -4.2612 2.6801
Pt -3.2074 -5.2768 1.8625
CELL_PARAMETERS angstrom
-2.3966 -0.4131 3.1266
-3.8346 -0.8333 -0.5403
-0.1836 -9.3072 1.1387
! - Raw total energy: -6.88 eV/atom
! - Magnetization: 7.3 μB/cell

***

! PBE-GGA Sr4Mg3Ga, optimized geometry; values from VASP
&SYSTEM
  ibrav = 0, nat = 8, ntyp = 3
/
ATOMIC_SPECIES
Sr 87.62 Sr.upf
Mg 24.30 Mg.upf
Ga 69.72 Ga.upf
ATOMIC_POSITIONS angstrom
Sr 0.0000 0.0000 1.8520
Mg 2.0181 2.0181 12.9236
Ga 2.0181 2.0181 0.0000
Sr 0.0000 0.0000 15.1673
Sr 0.0000 0.0000 6.2988
Mg 2.0181 2.0181 8.5097
Mg 2.0181 2.0181 4.0957
Sr 0.0000 0.0000 10.7205
CELL_PARAMETERS angstrom
4.0363 0.0000 0.0000
0.0000 4.0363 0.0000
0.0000 0.0000 17.0193
! - Formation energy from the elements: -0.14 eV/atom
! - Magnetization: 0.0 μB/cell

***

Quick rundown of V, same order as above: 16.283 23.030 30.897 34.659 A^3/atom